Entry 1:
# LaHgRh

A relaxed structure of LaHgRh (PBE, Alexandria via LeMat-Bulk).

CIF file:
```
data_LaHgRh
_cell_length_a 10.215
_cell_length_b 4.298
_cell_length_c 7.618
_cell_angle_alpha 90.00
_cell_angle_beta 122.11
_cell_angle_gamma 90.00
_space_group_name_H-M_alt 'C 1 2/m 1'
_space_group_IT_number 12
loop_
_space_group_symop_operation_xyz
'x,y,z'
'-x,-y,-z'
'-x,y,-z'
'x,-y,z'
'x+1/2,y+1/2,z'
'-x+1/2,-y+1/2,-z'
'-x+1/2,y+1/2,-z'
'x+1/2,-y+1/2,z'
loop_
_atom_site_label
_atom_site_type_symbol
_atom_site_fract_x
_atom_site_fract_y
_atom_site_fract_z
La1 La 0.071 0.000 0.324
Hg1 Hg 0.173 0.500 0.071
Rh1 Rh 0.150 0.500 0.661
```

Output
DFT total energy = -4.793 eV per atom
crystal system = monoclinic

=====

Entry 2:
# La6Hg2Rh

A relaxed structure of La6Hg2Rh (PBE, Alexandria via LeMat-Bulk).

CIF file:
```
data_La6Hg2Rh
_cell_length_a 3.886
_cell_length_b 15.698
_cell_length_c 9.053
_cell_angle_alpha 90.00
_cell_angle_beta 90.00
_cell_angle_gamma 90.00
_space_group_name_H-M_alt 'A m m 2'
_space_group_IT_number 38
loop_
_space_group_symop_operation_xyz
'x,y,z'
'-x,-y,z'
'-x,y,z'
'x,-y,z'
'x,y+1/2,z+1/2'
'-x,-y+1/2,z+1/2'
'-x,y+1/2,z+1/2'
'x,-y+1/2,z+1/2'
loop_
_atom_site_label
_atom_site_type_symbol
_atom_site_fract_x
_atom_site_fract_y
_atom_site_fract_z
La1 La 0.000 0.000 0.000
La2 La 0.000 0.120 0.359
La3 La 0.500 0.000 0.645
La4 La 0.500 0.202 0.036
Hg1 Hg 0.000 0.167 0.738
Rh1 Rh 0.500 0.000 0.241
```

Output
DFT total energy = -4.601 eV per atom
crystal system = orthorhombic
E above lowest polymorph = 0.0 kJ per mole of atoms

=====

Question: Look up the DFT total energy of the second one.
Answer: -4.601 eV per atom

=====

Question: Among the records above, which one has the lowest DFT total energy?
Answer: LaHgRh

=====

Question: Look up the DFT total energy of the second one.
Answer: -4.601 eV per atom